{"formula": "AgSbBr2", "functional": "GGA-PBEsol", "state": "relaxed", "lattice": [[-1.2421, 3.4540, -3.4716], [-3.3745, -1.2345, 3.6553], [-1.0225, 3.3197, 3.6686]], "species": ["Ag", "Br", "Br", "Sb"], "fractional_positions": [[0.0000, 0.0000, 0.0000], [0.2500, 0.5000, 0.2500], [0.7500, 0.5000, 0.7500], [0.5000, 0.0000, 0.5000]], "dft_energy_ev_per_cell": -10.864, "de_polymorph_ev_per_atom": 0.0488, "sg": "I4/mmm", "magmom_total_mub_per_cell": 0.0, "e_form_raw_ev_per_atom": 0.186}